DFT (PBE) results for crystalline ZrMnIn2 at its relaxed geometry.

abc: 3.0456 4.1488 6.3948
angles: 90.00 90.00 90.00
With the nearest neighbours (Å) after each atom.
Space group Pmmm (No. 47)
Asymmetric unit:
Zr (0.0000, 0.0000, 0.0000) x1  2 Zr 3.05, 8 In 3.10, 2 Mn 3.20
Mn (0.0000, 0.0000, 0.5000) x1  8 In 2.97, 2 Mn 3.05, 2 Zr 3.20
In (0.5000, 0.5000, 0.2691) x2  3 In 2.95-3.05, 4 Mn 2.97, 4 Zr 3.10

Summary:
- VASP energy: -5.79 eV per atom
- Total magnetic moment: 3.191 μB/f.u.